## Rb3YPu2Se6 (PBE)

Data for a relaxed Rb3YPu2Se6 crystal.

The structure in CIF format:
```
data_Rb3YPu2Se6
_chemical_formula_sum 'Rb6 Y2 Pu4 Se12'
_cell_length_a 7.437
_cell_length_b 12.882
_cell_length_c 8.350
_cell_angle_alpha 90.00
_cell_angle_beta 107.27
_cell_angle_gamma 90.00
_symmetry_space_group_name_H-M 'C 1 2/m 1'
_symmetry_Int_Tables_number 12
_symmetry_space_group_name_Hall '-C 2y'
loop_
_atom_site_label
_atom_site_type_symbol
_atom_site_fract_x
_atom_site_fract_y
_atom_site_fract_z
Rb1 Rb 0.000 0.000 0.000
Rb2 Rb 0.000 0.333 0.000
Y1 Y 0.000 0.500 0.500
Pu1 Pu 0.000 0.167 0.500
Se1 Se 0.231 0.334 0.695
Se2 Se 0.234 0.000 0.695
```

Calculated values
- Formation energy from raw total energies: -1.54 eV per atom
- Total moment: 10.0 μB/f.u.
- E_tot: -154.770 eV/cell